Arrangement i

A plane-wave DFT calculation with PBE+U was carried out for an optimized crystal structure of Li3Ni2SbO6. Values from VASP.

The structure in Quantum ESPRESSO input format:
```
&SYSTEM
  ibrav = 0, nat = 12, ntyp = 4
/
ATOMIC_SPECIES
O 16.00 O.upf
Ni 58.69 Ni.upf
Li 6.94 Li.upf
Sb 121.76 Sb.upf
CELL_PARAMETERS angstrom
5.225 0.002 0.007
-2.609 4.527 0.007
-0.884 -1.530 4.895
ATOMIC_POSITIONS crystal
O 0.603 0.923 0.767
O 0.243 0.243 0.771
Ni 0.666 0.334 0.000
O 0.077 0.397 0.233
O 0.923 0.603 0.767
Li 0.826 0.174 0.500
Li 0.500 0.500 0.500
O 0.397 0.077 0.233
Sb 0.000 0.000 0.000
Li 0.174 0.826 0.500
O 0.757 0.757 0.229
Ni 0.334 0.666 0.000
```

---

Arrangement ii

A plane-wave DFT calculation with PBE+U was carried out for an optimized crystal structure of Li3Ni2SbO6. Values from VASP.

The structure in Quantum ESPRESSO input format:
```
&SYSTEM
  ibrav = 0, nat = 12, ntyp = 4
/
ATOMIC_SPECIES
Li 6.94 Li.upf
O 16.00 O.upf
Ni 58.69 Ni.upf
Sb 121.76 Sb.upf
CELL_PARAMETERS angstrom
-3.165 0.802 5.693
-5.411 0.127 3.711
-0.296 -5.784 2.306
ATOMIC_POSITIONS crystal
Li 0.000 0.000 0.000
Li 0.676 0.676 0.703
O 0.843 0.843 0.598
Ni 0.672 0.672 0.147
Li 0.324 0.324 0.297
O 0.505 0.505 0.720
Ni 0.328 0.328 0.853
O 0.495 0.495 0.280
O 0.163 0.163 0.929
O 0.157 0.157 0.402
Sb 0.000 0.000 0.500
O 0.837 0.837 0.071
```

---

Which of them is the most stable? Correct choice: arrangement i.

---

Arrangement i

A plane-wave DFT calculation with PBE+U was carried out for an optimized crystal structure of Li3SiNiO5. Values from VASP.

The structure in Quantum ESPRESSO input format:
```
&SYSTEM
  ibrav = 0, nat = 40, ntyp = 4
/
ATOMIC_SPECIES
O 16.00 O.upf
Ni 58.69 Ni.upf
Li 6.94 Li.upf
Si 28.09 Si.upf
CELL_PARAMETERS angstrom
4.910 0.000 0.000
0.000 5.432 0.000
0.000 0.000 15.766
ATOMIC_POSITIONS crystal
O 0.599 0.157 0.297
O 0.118 0.811 0.313
O 0.599 0.657 0.203
O 0.600 0.620 0.601
Ni 0.500 0.327 0.200
O 0.163 0.317 0.606
Li 0.507 0.326 0.804
Li 0.499 0.334 0.407
Li 0.007 0.174 0.304
O 0.602 0.185 0.515
Ni 0.000 0.673 0.800
O 0.118 0.311 0.187
O 0.618 0.189 0.687
O 0.099 0.843 0.703
Li 0.999 0.166 0.907
Ni 0.500 0.827 0.300
Li 0.002 0.164 0.496
O 0.163 0.817 0.894
Si 0.005 0.666 0.402
O 0.663 0.683 0.394
Si 0.505 0.834 0.902
O 0.100 0.380 0.399
O 0.600 0.120 0.899
O 0.663 0.183 0.106
Li 0.502 0.336 0.996
O 0.602 0.685 0.985
O 0.102 0.815 0.485
O 0.618 0.689 0.813
O 0.100 0.880 0.101
Li 0.499 0.834 0.093
O 0.099 0.343 0.797
Ni 0.000 0.173 0.700
Si 0.505 0.334 0.598
Li 0.002 0.664 0.004
Li 0.007 0.674 0.196
Li 0.507 0.826 0.696
O 0.102 0.315 0.015
Li 0.999 0.666 0.593
Si 0.005 0.166 0.098
Li 0.502 0.836 0.504
```

---

Arrangement ii

A plane-wave DFT calculation with PBE+U was carried out for an optimized crystal structure of Li3SiNiO5. Values from VASP.

The structure in Quantum ESPRESSO input format:
```
&SYSTEM
  ibrav = 0, nat = 20, ntyp = 4
/
ATOMIC_SPECIES
O 16.00 O.upf
Si 28.09 Si.upf
Li 6.94 Li.upf
Ni 58.69 Ni.upf
CELL_PARAMETERS angstrom
5.014 -0.008 0.005
-1.800 5.475 -0.004
-0.707 -2.006 5.964
ATOMIC_POSITIONS crystal
O 0.340 0.868 0.586
O 0.484 0.745 0.026
Si 0.401 0.802 0.302
O 0.331 0.333 0.627
Li 0.196 0.894 0.894
Si 0.599 0.198 0.698
Ni 0.200 0.399 0.901
O 0.123 0.917 0.207
O 0.669 0.667 0.373
Li 0.000 0.500 0.500
Li 0.607 0.701 0.699
Li 0.804 0.106 0.106
Li 0.393 0.299 0.301
O 0.660 0.132 0.414
O 0.127 0.479 0.203
Ni 0.800 0.601 0.099
O 0.877 0.083 0.793
O 0.873 0.521 0.797
O 0.516 0.255 0.974
Li 0.000 0.000 0.500
```

---

Which of them is the most stable? Correct choice: arrangement i.